No. 1
# TlIr2Rh

Crystalline TlIr2Rh at its relaxed geometry (PBE, Alexandria).

Output
The calculation puts the formation energy at 0.501 eV per atom. The value obtained for the energy relative to the lowest polymorph listed for this composition is 19.8 kJ per mole of atoms. The value obtained for the density of states at the Fermi level is 5.85 states/eV per cell. For the total energy, the calculation gives -6.359 eV/atom.

a = 9.206 Å, b = 9.206 Å, c = 9.206 Å
α = 18.13°, β = 18.13°, γ = 18.13°
Sites, in units of the cell vectors:
Rh1 0.500 0.500 0.500
Ir1 0.756 0.756 0.756
Tl1 0.000 0.000 0.000
Ir2 0.244 0.244 0.244


No. 2
# Tl2IrRh

Crystalline Tl2IrRh at its relaxed geometry (PBE, Alexandria).

Output
The calculation puts the formation energy at 0.348 eV per atom. The value obtained for the energy relative to the lowest polymorph listed for this composition is 0.4 kJ per mole of atoms. The value obtained for the density of states at the Fermi level is 2.22 states/eV per cell. For the total energy, the calculation gives -4.888 eV/atom.

a = 4.792 Å, b = 4.792 Å, c = 3.210 Å
α = 90.00°, β = 90.00°, γ = 95.71°
Sites, in units of the cell vectors:
Rh1 0.000 0.000 0.500
Tl1 0.000 0.500 0.000
Tl2 0.500 0.000 0.000
Ir1 0.500 0.500 0.500


No. 3
# TlIr2Rh

Crystalline TlIr2Rh at its relaxed geometry (PBE, Alexandria).

Output
The calculation puts the formation energy at 0.331 eV per atom. The value obtained for the energy relative to the lowest polymorph listed for this composition is 3.4 kJ per mole of atoms. The value obtained for the density of states at the Fermi level is 3.36 states/eV per cell. For the total energy, the calculation gives -6.529 eV/atom.

a = 4.800 Å, b = 4.800 Å, c = 5.028 Å
α = 80.23°, β = 80.23°, γ = 35.09°
Sites, in units of the cell vectors:
Ir1 0.251 0.251 0.236
Rh1 0.505 0.505 0.486
Ir2 0.994 0.994 0.040
Tl1 0.750 0.750 0.738


No. 4
# Tl2IrRh2

Crystalline Tl2IrRh2 at its relaxed geometry (PBE, Alexandria).

Output
The calculation puts the formation energy at 0.395 eV per atom. The value obtained for the density of states at the Fermi level is 12.32 states/eV per cell. For the total energy, the calculation gives -5.264 eV/atom.

a = 6.772 Å, b = 6.772 Å, c = 4.105 Å
α = 90.00°, β = 90.00°, γ = 90.00°
Sites, in units of the cell vectors:
Rh1 0.866 0.634 0.000
Tl1 0.326 0.174 0.500
Rh2 0.634 0.134 0.000
Ir1 0.000 0.000 0.000
Tl2 0.826 0.326 0.500
Ir2 0.500 0.500 0.000
Rh3 0.366 0.866 0.000
Tl3 0.174 0.674 0.500
Tl4 0.674 0.826 0.500
Rh4 0.134 0.366 0.000


No. 5
# Tl2IrRh

Crystalline Tl2IrRh at its relaxed geometry (PBE, Alexandria).

Output
The calculation puts the formation energy at 0.642 eV per atom. The value obtained for the energy relative to the lowest polymorph listed for this composition is 28.8 kJ per mole of atoms. The value obtained for the density of states at the Fermi level is 6.25 states/eV per cell. For the total energy, the calculation gives -4.595 eV/atom.

a = 4.758 Å, b = 4.758 Å, c = 4.758 Å
α = 60.00°, β = 60.00°, γ = 60.00°
Sites, in units of the cell vectors:
Tl1 0.000 0.000 0.000
Tl2 0.750 0.750 0.750
Rh1 0.250 0.250 0.250
Ir1 0.500 0.500 0.500


No. 6
# TlIr4Rh

Crystalline TlIr4Rh at its relaxed geometry (PBE, Alexandria).

Output
The calculation puts the formation energy at 0.638 eV per atom. The value obtained for the density of states at the Fermi level is 13.06 states/eV per cell. For the total energy, the calculation gives -6.889 eV/atom.

a = 5.233 Å, b = 5.233 Å, c = 5.233 Å
α = 60.00°, β = 60.00°, γ = 60.00°
Sites, in units of the cell vectors:
Ir1 0.375 0.375 0.874
Ir2 0.375 0.375 0.375
Rh1 0.750 0.750 0.750
Ir3 0.874 0.375 0.375
Tl1 0.000 0.000 0.000
Ir4 0.375 0.874 0.375


No. 7
# TlIrRh

Crystalline TlIrRh at its relaxed geometry (PBE, Alexandria).

Output
The calculation puts the formation energy at 0.469 eV per atom. The value obtained for the energy relative to the lowest polymorph listed for this composition is 8.8 kJ per mole of atoms. The value obtained for the density of states at the Fermi level is 3.33 states/eV per cell. For the total energy, the calculation gives -5.724 eV/atom.

a = 2.975 Å, b = 2.975 Å, c = 6.731 Å
α = 90.00°, β = 90.00°, γ = 120.00°
Sites, in units of the cell vectors:
Rh1 0.667 0.333 0.320
Ir1 0.000 0.000 0.017
Tl1 0.333 0.667 0.663


No. 8
# Tl2IrRh

Crystalline Tl2IrRh at its relaxed geometry (PBE, Alexandria).

Output
The calculation puts the formation energy at 0.509 eV per atom. The value obtained for the energy relative to the lowest polymorph listed for this composition is 16.0 kJ per mole of atoms. The value obtained for the density of states at the Fermi level is 5.90 states/eV per cell. For the total energy, the calculation gives -4.727 eV/atom.

a = 5.592 Å, b = 5.592 Å, c = 5.592 Å
α = 138.65°, β = 138.65°, γ = 59.91°
Sites, in units of the cell vectors:
Rh1 0.750 0.250 0.500
Ir1 0.500 0.500 0.000
Tl1 0.000 0.000 0.000
Tl2 0.250 0.750 0.500


No. 9
# Tl3IrRh

Crystalline Tl3IrRh at its relaxed geometry (PBE, Alexandria).

Output
The calculation puts the formation energy at 0.790 eV per atom. The value obtained for the energy relative to the lowest polymorph listed for this composition is 0.0 kJ per mole of atoms. The value obtained for the density of states at the Fermi level is 6.28 states/eV per cell. For the total energy, the calculation gives -3.872 eV/atom.

a = 5.208 Å, b = 5.208 Å, c = 5.208 Å
α = 90.00°, β = 90.00°, γ = 90.00°
Sites, in units of the cell vectors:
Tl1 0.000 0.000 0.500
Tl2 0.000 0.500 0.000
Tl3 0.500 0.000 0.000
Ir1 0.000 0.000 0.000
Rh1 0.500 0.500 0.500


No. 10
# Tl2IrRh

Crystalline Tl2IrRh at its relaxed geometry (PBE, Alexandria).

Output
The calculation puts the formation energy at 0.516 eV per atom. The value obtained for the energy relative to the lowest polymorph listed for this composition is 16.7 kJ per mole of atoms. The value obtained for the density of states at the Fermi level is 5.75 states/eV per cell. For the total energy, the calculation gives -4.720 eV/atom.

a = 10.530 Å, b = 10.530 Å, c = 10.530 Å
α = 16.61°, β = 16.61°, γ = 16.61°
Sites, in units of the cell vectors:
Tl1 0.985 0.985 0.985
Ir1 0.510 0.510 0.510
Rh1 0.241 0.241 0.241
Tl2 0.764 0.764 0.764


No. 11
# Tl2IrRh

Crystalline Tl2IrRh at its relaxed geometry (PBE, Alexandria).

Output
The calculation puts the formation energy at 0.386 eV per atom. The value obtained for the energy relative to the lowest polymorph listed for this composition is 4.1 kJ per mole of atoms. The value obtained for the density of states at the Fermi level is 3.81 states/eV per cell. For the total energy, the calculation gives -4.850 eV/atom.

a = 3.217 Å, b = 3.217 Å, c = 8.063 Å
α = 90.00°, β = 90.00°, γ = 90.00°
Sites, in units of the cell vectors:
Ir1 0.000 0.000 0.546
Tl1 0.500 0.500 0.295
Rh1 0.500 0.500 0.704
Tl2 0.000 0.000 0.955


No. 12
# TlIr2Rh

Crystalline TlIr2Rh at its relaxed geometry (PBE, Alexandria).

Output
The calculation puts the formation energy at 0.296 eV per atom. The value obtained for the energy relative to the lowest polymorph listed for this composition is 0.0 kJ per mole of atoms. The value obtained for the density of states at the Fermi level is 2.87 states/eV per cell. For the total energy, the calculation gives -6.564 eV/atom.

a = 2.871 Å, b = 2.871 Å, c = 7.944 Å
α = 90.00°, β = 90.00°, γ = 90.00°
Sites, in units of the cell vectors:
Tl1 0.500 0.500 0.746
Ir1 0.500 0.500 0.249
Rh1 0.000 0.000 0.478
Ir2 0.000 0.000 0.026